i | MgBr5 | PBE | optimized geometry

abc: 6.686 6.686 11.868
angles: 111.74 111.74 32.75
Element x y z (fractional)
Mg 0.000 0.000 0.000
Br 0.089 0.089 0.509
Br 0.358 0.358 0.893
Br 0.422 0.422 0.509
Br 0.642 0.642 0.107
Br 0.756 0.756 0.509

=====

ii | MgBr5 | PBE | optimized geometry

abc: 3.491 3.491 14.869
angles: 90.00 90.00 90.00
Element x y z (fractional)
Mg 0.000 0.000 0.000
Br 0.000 0.000 0.371
Br 0.000 0.000 0.629
Br 0.500 0.500 0.110
Br 0.500 0.500 0.500
Br 0.500 0.500 0.890

=====

iii | MgBr5 | PBE | optimized geometry

abc: 5.527 5.527 8.792
angles: 90.00 90.00 120.00
Element x y z (fractional)
Mg 0.000 0.000 0.000
Br 0.000 0.500 0.500
Br 0.333 0.667 0.000
Br 0.500 0.000 0.500
Br 0.500 0.500 0.500
Br 0.667 0.333 0.000

=====

Of them, i has the highest stability.

=====

i | Mg3Br5 | PBE | optimized geometry

abc: 7.836 7.836 3.863
angles: 90.00 90.00 111.49
Element x y z (fractional)
Mg 0.000 0.000 0.000
Mg 0.336 0.664 0.500
Mg 0.664 0.336 0.500
Br 0.000 0.500 0.000
Br 0.189 0.189 0.500
Br 0.500 0.000 0.000
Br 0.500 0.500 0.000
Br 0.811 0.811 0.500

=====

ii | Mg3Br5 | PBE | optimized geometry

abc: 7.862 7.862 8.179
angles: 90.00 90.00 120.00
Element x y z (fractional)
Mg 0.000 0.405 0.250
Mg 0.000 0.595 0.750
Mg 0.405 0.000 0.250
Mg 0.405 0.405 0.750
Mg 0.595 0.000 0.750
Mg 0.595 0.595 0.250
Br 0.000 0.258 0.750
Br 0.000 0.742 0.250
Br 0.258 0.000 0.750
Br 0.258 0.258 0.250
Br 0.333 0.667 0.000
Br 0.333 0.667 0.500
Br 0.667 0.333 0.000
Br 0.667 0.333 0.500
Br 0.742 0.000 0.250
Br 0.742 0.742 0.750

=====

Of them, ii has the highest stability.

=====

i | Mg5Br | PBE | optimized geometry

abc: 6.114 6.114 7.989
angles: 111.04 111.04 32.06
Element x y z (fractional)
Mg 0.000 0.000 0.000
Mg 0.015 0.015 0.598
Mg 0.395 0.395 0.243
Mg 0.684 0.684 0.331
Mg 0.705 0.705 0.936
Br 0.268 0.268 0.633

=====

ii | Mg5Br | PBE | optimized geometry

abc: 6.021 6.021 6.021
angles: 60.00 60.00 60.00
Element x y z (fractional)
Mg 0.000 0.000 0.000
Mg 0.120 0.627 0.627
Mg 0.627 0.120 0.627
Mg 0.627 0.627 0.120
Mg 0.627 0.627 0.627
Br 0.250 0.250 0.250

=====

Of them, i has the highest stability.

=====

i | MgMn3Br | PBE | optimized geometry

abc: 5.169 5.169 5.169
angles: 90.00 90.00 90.00
Element x y z (fractional)
Mg 0.000 0.000 0.000
Mn 0.000 0.000 0.500
Mn 0.000 0.500 0.000
Mn 0.500 0.000 0.000
Br 0.500 0.500 0.500

=====

ii | MgMn3Br | PBE | optimized geometry

abc: 4.537 4.537 4.537
angles: 90.00 90.00 90.00
Element x y z (fractional)
Mg 0.000 0.000 0.000
Mn 0.000 0.500 0.500
Mn 0.500 0.000 0.500
Mn 0.500 0.500 0.000
Br 0.500 0.500 0.500

=====

Of them, ii has the highest stability.

=====

i | MgMn2Br6 | PBE | optimized geometry

abc: 9.170 9.170 8.255
angles: 107.84 107.84 24.42
Element x y z (fractional)
Mg 0.000 0.000 0.000
Mn 0.334 0.334 0.667
Mn 0.666 0.666 0.333
Br 0.159 0.159 0.101
Br 0.174 0.174 0.566
Br 0.493 0.493 0.768
Br 0.507 0.507 0.232
Br 0.826 0.826 0.434
Br 0.841 0.841 0.899

=====

ii | MgMn2Br6 | PBE | optimized geometry

abc: 8.951 8.951 7.132
angles: 97.93 97.93 84.52
Element x y z (fractional)
Mg 0.102 0.898 0.750
Mg 0.898 0.102 0.250
Mn 0.220 0.395 0.681
Mn 0.395 0.220 0.181
Mn 0.605 0.780 0.819
Mn 0.780 0.605 0.319
Br 0.034 0.186 0.614
Br 0.117 0.630 0.864
Br 0.186 0.034 0.114
Br 0.291 0.454 0.372
Br 0.370 0.883 0.636
Br 0.454 0.291 0.872
Br 0.546 0.709 0.128
Br 0.630 0.117 0.364
Br 0.709 0.546 0.628
Br 0.814 0.966 0.886
Br 0.883 0.370 0.136
Br 0.966 0.814 0.386

=====

Of them, i has the highest stability.

=====

i | MgMnBr4 | PBE | optimized geometry

abc: 6.412 6.412 6.412
angles: 60.00 60.00 60.00
Element x y z (fractional)
Mg 0.000 0.000 0.000
Mn 0.750 0.750 0.750
Br 0.374 0.374 0.374
Br 0.374 0.374 0.878
Br 0.374 0.878 0.374
Br 0.878 0.374 0.374

=====

ii | MgMnBr4 | PBE | optimized geometry

abc: 6.726 3.881 7.006
angles: 90.00 90.20 90.00
Element x y z (fractional)
Mg 0.000 0.000 0.000
Mn 0.500 0.500 0.000
Br 0.165 0.500 0.785
Br 0.334 0.000 0.216
Br 0.666 0.000 0.784
Br 0.835 0.500 0.215

=====

iii | MgMnBr4 | PBE | optimized geometry

abc: 7.067 7.067 7.067
angles: 126.63 126.63 78.85
Element x y z (fractional)
Mg 0.000 0.000 0.000
Mn 0.750 0.250 0.500
Br 0.096 0.623 0.972
Br 0.377 0.349 0.473
Br 0.651 0.124 0.028
Br 0.876 0.904 0.527

=====

Of them, ii has the highest stability.

=====

i | MgMo3Br | PBE | optimized geometry

abc: 4.635 4.635 4.635
angles: 90.00 90.00 90.00
Element x y z (fractional)
Mg 0.000 0.000 0.000
Mo 0.000 0.500 0.500
Mo 0.500 0.000 0.500
Mo 0.500 0.500 0.000
Br 0.500 0.500 0.500

=====

ii | MgMo3Br | PBE | optimized geometry

abc: 4.726 4.726 4.726
angles: 90.00 90.00 90.00
Element x y z (fractional)
Mg 0.000 0.000 0.000
Mo 0.000 0.000 0.500
Mo 0.000 0.500 0.000
Mo 0.500 0.000 0.000
Br 0.500 0.500 0.500

=====

Of them, i has the highest stability.

=====

i | Mg2BrN | PBE | optimized geometry

abc: 6.575 6.575 6.575
angles: 29.90 29.90 29.90
Element x y z (fractional)
Mg 0.220 0.220 0.220
Mg 0.780 0.780 0.780
Br 0.000 0.000 0.000
N 0.500 0.500 0.500

=====

ii | Mg2BrN | PBE | optimized geometry

abc: 4.469 4.469 4.469
angles: 60.00 60.00 60.00
Element x y z (fractional)
Mg 0.250 0.250 0.250
Mg 0.750 0.750 0.750
Br 0.000 0.000 0.000
N 0.500 0.500 0.500

=====

iii | Mg2BrN | PBE | optimized geometry

abc: 3.623 3.623 7.515
angles: 103.99 103.99 59.99
Element x y z (fractional)
Mg 0.000 0.000 0.000
Mg 0.559 0.559 0.681
Br 0.408 0.408 0.224
N 0.909 0.909 0.730

=====

Of them, i has the highest stability.

=====

i | MgBr3N | PBE | optimized geometry

abc: 5.292 5.292 5.292
angles: 90.00 90.00 90.00
Element x y z (fractional)
Mg 0.000 0.000 0.000
Br 0.000 0.000 0.500
Br 0.000 0.500 0.000
Br 0.500 0.000 0.000
N 0.500 0.500 0.500

=====

ii | MgBr3N | PBE | optimized geometry

abc: 4.743 4.743 4.743
angles: 90.00 90.00 90.00
Element x y z (fractional)
Mg 0.000 0.000 0.000
Br 0.000 0.500 0.500
Br 0.500 0.000 0.500
Br 0.500 0.500 0.000
N 0.500 0.500 0.500

=====

iii | MgBr3N | PBE | optimized geometry

abc: 5.979 5.980 9.998
angles: 93.34 105.18 104.79
Element x y z (fractional)
Mg 0.000 0.000 0.000
Mg 0.367 0.635 0.000
Br 0.105 0.691 0.174
Br 0.263 0.944 0.826
Br 0.411 0.326 0.172
Br 0.629 0.637 0.828
Br 0.739 0.998 0.173
Br 0.956 0.310 0.828
N 0.429 0.075 0.508
N 0.936 0.556 0.495

=====

Of them, iii has the highest stability.

=====

i | Mg3BrN | PBE | optimized geometry

abc: 5.240 5.240 5.240
angles: 90.00 90.00 90.00
Element x y z (fractional)
Mg 0.000 0.000 0.500
Mg 0.000 0.500 0.000
Mg 0.500 0.000 0.000
Br 0.000 0.000 0.000
N 0.500 0.500 0.500

=====

ii | Mg3BrN | PBE | optimized geometry

abc: 4.522 4.522 4.522
angles: 90.00 90.00 90.00
Element x y z (fractional)
Mg 0.000 0.000 0.500
Mg 0.000 0.500 0.000
Mg 0.500 0.000 0.000
Br 0.500 0.500 0.500
N 0.000 0.000 0.000

=====

Of them, ii has the highest stability.

=====

i | MgSBrN2 | PBE | optimized geometry

abc: 4.134 4.134 5.611
angles: 90.00 90.00 90.00
Element x y z (fractional)
Mg 0.000 0.000 0.000
S 0.000 0.000 0.500
Br 0.500 0.500 0.500
N 0.000 0.500 0.000
N 0.500 0.000 0.000

=====

ii | MgSBrN2 | PBE | optimized geometry

abc: 3.762 3.762 7.240
angles: 90.00 90.00 90.00
Element x y z (fractional)
Mg 0.000 0.000 0.000
S 0.500 0.500 0.000
Br 0.500 0.500 0.500
N 0.000 0.500 0.500
N 0.500 0.000 0.500

=====

Of them, i has the highest stability.